# 1
# LaBe2Br | Alexandria via LeMat-Bulk | GGA-PBE | optimized geometry
# **Theoretical density**: 4.76 Mg/m³
# **Calculated total energy**: -3.267 eV/atom
# **ΔE to the lowest computed polymorph**: 401 meV/atom
data_LaBe2Br
_chemical_formula_sum 'La4 Be8 Br4'
_cell_length_a 6.9161
_cell_length_b 6.9161
_cell_length_c 6.9161
_cell_angle_alpha 90.00
_cell_angle_beta 90.00
_cell_angle_gamma 90.00
_symmetry_space_group_name_H-M 'F -4 3 m'
_symmetry_Int_Tables_number 216
_symmetry_space_group_name_Hall 'F -4 2 3'
loop_
_atom_site_label
_atom_site_fract_x
_atom_site_fract_y
_atom_site_fract_z
La1 0.0000 0.0000 0.0000
Be1 0.0000 0.0000 0.5000
Be2 0.2500 0.2500 0.7500
Br1 0.2500 0.2500 0.2500



# 2
# La4BeBr | Alexandria via LeMat-Bulk | GGA-PBE | optimized geometry
# **Theoretical density**: 5.67 Mg/m³
# **Calculated total energy**: -3.740 eV/atom
data_La4BeBr
_chemical_formula_sum 'La16 Be4 Br4'
_cell_length_a 9.1059
_cell_length_b 9.1059
_cell_length_c 9.1059
_cell_angle_alpha 90.00
_cell_angle_beta 90.00
_cell_angle_gamma 90.00
_symmetry_space_group_name_H-M 'F -4 3 m'
_symmetry_Int_Tables_number 216
_symmetry_space_group_name_Hall 'F -4 2 3'
loop_
_atom_site_label
_atom_site_fract_x
_atom_site_fract_y
_atom_site_fract_z
La1 0.1224 0.1224 0.1224
Be1 0.2500 0.2500 0.7500
Br1 0.0000 0.0000 0.5000



# 3
# LaBe2Br | Alexandria via LeMat-Bulk | GGA-PBE | optimized geometry
# **Theoretical density**: 4.33 Mg/m³
# **Calculated total energy**: -3.668 eV/atom
# **ΔE to the lowest computed polymorph**: 0 meV/atom
data_LaBe2Br
_chemical_formula_sum 'La2 Be4 Br2'
_cell_length_a 7.0150
_cell_length_b 3.8269
_cell_length_c 6.7615
_cell_angle_alpha 90.00
_cell_angle_beta 90.33
_cell_angle_gamma 90.00
_symmetry_space_group_name_H-M 'C 1 m 1'
_symmetry_Int_Tables_number 8
loop_
_symmetry_equiv_pos_as_xyz
'x,y,z'
'x,-y,z'
'x+1/2,y+1/2,z'
'x+1/2,-y+1/2,z'
loop_
_atom_site_label
_atom_site_fract_x
_atom_site_fract_y
_atom_site_fract_z
La1 0.0000 0.0000 0.0000
Be1 0.1579 0.5000 0.3159
Be2 0.3371 0.0000 0.2786
Br1 0.1758 0.5000 0.6813



# 4
# LaBe2Br | Alexandria via LeMat-Bulk | GGA-PBE | optimized geometry
# **Theoretical density**: 4.59 Mg/m³
# **Calculated total energy**: -2.961 eV/atom
# **ΔE to the lowest computed polymorph**: 707 meV/atom
data_LaBe2Br
_chemical_formula_sum 'La3 Be6 Br3'
_cell_length_a 3.4092
_cell_length_b 3.4092
_cell_length_c 25.5111
_cell_angle_alpha 90.00
_cell_angle_beta 90.00
_cell_angle_gamma 120.00
_symmetry_space_group_name_H-M 'R -3 m'
_symmetry_Int_Tables_number 166
_symmetry_space_group_name_Hall '-R 3 2"'
loop_
_atom_site_label
_atom_site_fract_x
_atom_site_fract_y
_atom_site_fract_z
La1 0.0000 0.0000 0.0000
Be1 0.0000 0.0000 0.2359
Br1 0.0000 0.0000 0.5000



# 5
# La7BeBr12 | Alexandria via LeMat-Bulk | GGA-PBE | optimized geometry
# **Theoretical density**: 4.86 Mg/m³
# **Calculated total energy**: -4.375 eV/atom
data_La7BeBr12
_chemical_formula_sum 'La21 Be3 Br36'
_cell_length_a 19.0943
_cell_length_b 19.0943
_cell_length_c 6.3009
_cell_angle_alpha 90.00
_cell_angle_beta 90.00
_cell_angle_gamma 120.00
_symmetry_space_group_name_H-M 'R -3'
_symmetry_Int_Tables_number 148
_symmetry_space_group_name_Hall '-R 3'
loop_
_atom_site_label
_atom_site_fract_x
_atom_site_fract_y
_atom_site_fract_z
La1 0.0000 0.0000 0.0000
La2 0.0530 0.1861 0.3336
Be1 0.0000 0.0000 0.5000
Br1 0.0337 0.5903 0.1688
Br2 0.0487 0.1748 0.8397



# 6
# LaBe2Br | Alexandria via LeMat-Bulk | GGA-PBE | optimized geometry
# **Theoretical density**: 4.34 Mg/m³
# **Calculated total energy**: -3.092 eV/atom
# **ΔE to the lowest computed polymorph**: 576 meV/atom
data_LaBe2Br
_chemical_formula_sum 'La4 Be8 Br4'
_cell_length_a 7.9437
_cell_length_b 7.9437
_cell_length_c 5.7444
_cell_angle_alpha 90.00
_cell_angle_beta 90.00
_cell_angle_gamma 90.00
_symmetry_space_group_name_H-M 'I -4 2 d'
_symmetry_Int_Tables_number 122
_symmetry_space_group_name_Hall 'I -4 2bw'
loop_
_atom_site_label
_atom_site_fract_x
_atom_site_fract_y
_atom_site_fract_z
La1 0.0000 0.0000 0.0000
Be1 0.2216 0.2500 0.6250
Br1 0.0000 0.0000 0.5000



# 7
# LaBeBr | Alexandria via LeMat-Bulk | GGA-PBE | optimized geometry
# **Theoretical density**: 4.75 Mg/m³
# **Calculated total energy**: -3.562 eV/atom
# **ΔE to the lowest computed polymorph**: 43 meV/atom
data_LaBeBr
_chemical_formula_sum 'La2 Be2 Br2'
_cell_length_a 3.8110
_cell_length_b 3.8110
_cell_length_c 10.9629
_cell_angle_alpha 90.00
_cell_angle_beta 90.00
_cell_angle_gamma 90.00
_symmetry_space_group_name_H-M 'I 4 m m'
_symmetry_Int_Tables_number 107
_symmetry_space_group_name_Hall 'I 4 -2'
loop_
_atom_site_label
_atom_site_fract_x
_atom_site_fract_y
_atom_site_fract_z
La1 0.0000 0.0000 0.0000
Be1 0.0000 0.0000 0.3704
Br1 0.0000 0.0000 0.6666



# 8
# La2MnBeBr | Alexandria via LeMat-Bulk | GGA-PBE | optimized geometry
# **Theoretical density**: 6.04 Mg/m³
# **Calculated total energy**: -5.137 eV/atom
data_La2MnBeBr
_chemical_formula_sum 'La2 Mn1 Be1 Br1'
_cell_length_a 5.1751
_cell_length_b 5.1751
_cell_length_c 4.3256
_cell_angle_alpha 90.00
_cell_angle_beta 90.00
_cell_angle_gamma 90.00
_symmetry_space_group_name_H-M 'P 4/m m m'
_symmetry_Int_Tables_number 123
_symmetry_space_group_name_Hall '-P 4 2'
loop_
_atom_site_label
_atom_site_fract_x
_atom_site_fract_y
_atom_site_fract_z
La1 0.0000 0.5000 0.0000
Mn1 0.0000 0.0000 0.0000
Be1 0.0000 0.0000 0.5000
Br1 0.5000 0.5000 0.5000